[1]
## Tb2DyNi9 (PBE)

Data for Tb2DyNi9 after structural relaxation. Values from VASP.

Calculated values
M_tot in μB per cell: 1.03
Crystal system: trigonal
Electronic total energy in eV/atom: -5.897

The structure in Quantum ESPRESSO input format:
```
&SYSTEM
  ibrav = 0, nat = 12, ntyp = 3
/
ATOMIC_SPECIES
Tb 158.93 Tb.upf
Dy 162.50 Dy.upf
Ni 58.69 Ni.upf
CELL_PARAMETERS angstrom
4.965 0.000 0.000
2.482 4.300 0.000
2.482 1.433 8.133
ATOMIC_POSITIONS angstrom
Tb 7.447 4.300 3.385
Tb 2.482 1.433 4.748
Dy 0.000 0.000 0.000
Ni 7.447 4.300 8.126
Ni 2.482 1.433 0.007
Ni 4.965 2.866 4.066
Ni 3.721 2.148 1.993
Ni 6.208 2.148 1.993
Ni 4.965 4.302 1.993
Ni 6.208 3.584 6.140
Ni 4.965 1.430 6.140
Ni 3.721 3.584 6.140
```

***

[2]
## LaY2Os (PBE)

Data for LaY2Os after structural relaxation. Values from VASP.

Calculated values
M_tot in μB per cell: 0.00
Crystal system: cubic
Electronic total energy in eV/atom: -7.053

The structure in Quantum ESPRESSO input format:
```
&SYSTEM
  ibrav = 0, nat = 4, ntyp = 3
/
ATOMIC_SPECIES
La 138.91 La.upf
Os 190.23 Os.upf
Y 88.91 Y.upf
CELL_PARAMETERS angstrom
5.219 0.000 0.000
2.609 4.520 0.000
2.609 1.507 4.261
ATOMIC_POSITIONS angstrom
La 5.219 3.013 2.131
Os 7.828 4.520 3.196
Y 0.000 0.000 0.000
Y 2.609 1.507 1.065
```

***

[3]
## BeAlAgS2 (PBE)

Data for BeAlAgS2 after structural relaxation. Values from VASP.

Calculated values
M_tot in μB per cell: 0.00
Crystal system: tetragonal
Electronic total energy in eV/atom: -3.337

The structure in Quantum ESPRESSO input format:
```
&SYSTEM
  ibrav = 0, nat = 5, ntyp = 4
/
ATOMIC_SPECIES
Be 9.01 Be.upf
S 32.06 S.upf
Al 26.98 Al.upf
Ag 107.87 Ag.upf
CELL_PARAMETERS angstrom
4.440 0.000 0.000
0.000 4.516 0.000
0.000 0.000 4.440
ATOMIC_POSITIONS angstrom
Be 0.000 0.000 0.000
S 0.000 0.000 2.220
S 2.220 0.000 0.000
Al 0.000 2.258 0.000
Ag 2.220 2.258 2.220
```

***

[4]
## CaSc2Al (PBE)

Data for CaSc2Al after structural relaxation. Values from VASP.

Calculated values
M_tot in μB per cell: 0.00
Crystal system: cubic
Electronic total energy in eV/atom: -4.577

The structure in Quantum ESPRESSO input format:
```
&SYSTEM
  ibrav = 0, nat = 4, ntyp = 3
/
ATOMIC_SPECIES
Sc 44.96 Sc.upf
Ca 40.08 Ca.upf
Al 26.98 Al.upf
CELL_PARAMETERS angstrom
5.165 0.000 0.000
2.582 4.473 0.000
2.582 1.491 4.217
ATOMIC_POSITIONS angstrom
Sc 0.000 0.000 0.000
Sc 2.582 1.491 1.054
Ca 7.747 4.473 3.163
Al 5.165 2.982 2.108
```

***

[5]
## La5Er3Bi8 (PBE)

Data for La5Er3Bi8 after structural relaxation. Values from VASP.

Calculated values
M_tot in μB per cell: 0.00
Crystal system: trigonal
Electronic total energy in eV/atom: -5.291

The structure in Quantum ESPRESSO input format:
```
&SYSTEM
  ibrav = 0, nat = 16, ntyp = 3
/
ATOMIC_SPECIES
La 138.91 La.upf
Er 167.26 Er.upf
Bi 208.98 Bi.upf
CELL_PARAMETERS angstrom
8.011 0.000 4.589
2.691 7.545 4.589
0.042 0.029 9.214
ATOMIC_POSITIONS angstrom
La 4.005 0.000 2.294
La 5.351 3.773 4.589
La 0.000 0.000 0.000
La 1.346 3.773 2.294
La 5.372 3.787 9.195
Er 4.026 0.015 6.901
Er 0.021 0.015 4.607
Er 1.366 3.787 6.901
Bi 2.706 1.908 9.113
Bi 4.079 5.756 11.453
Bi 6.791 1.908 11.453
Bi 8.110 5.718 13.702
Bi 8.037 5.666 9.278
Bi 6.665 1.819 6.938
Bi 3.952 5.666 6.938
Bi 2.634 1.857 4.689
```

***

[6]
## PrSeO5 (PBE)

Data for PrSeO5 after structural relaxation. Values from VASP.

Calculated values
M_tot in μB per cell: 2.01
Crystal system: tetragonal
Electronic total energy in eV/atom: -6.136

The structure in Quantum ESPRESSO input format:
```
&SYSTEM
  ibrav = 0, nat = 14, ntyp = 3
/
ATOMIC_SPECIES
Pr 140.91 Pr.upf
Se 78.96 Se.upf
O 16.00 O.upf
CELL_PARAMETERS angstrom
4.723 0.000 0.000
0.000 7.476 0.000
0.000 0.000 7.476
ATOMIC_POSITIONS angstrom
Pr 1.230 3.738 0.000
Pr 3.493 0.000 3.738
Se 2.362 0.000 0.000
Se 2.362 3.738 3.738
O 1.392 1.354 0.000
O 1.392 3.738 2.384
O 1.120 0.000 3.738
O 3.604 3.738 0.000
O 1.392 3.738 5.093
O 1.392 6.122 0.000
O 3.332 5.093 3.738
O 3.332 0.000 6.122
O 3.332 0.000 1.354
O 3.332 2.384 3.738
```

***

Number 5 is which compound?
La5Er3Bi8

***

Please write out number 6 again, unchanged.
## PrSeO5 (PBE)

Data for PrSeO5 after structural relaxation. Values from VASP.

Calculated values
M_tot in μB per cell: 2.01
Crystal system: tetragonal
Electronic total energy in eV/atom: -6.136

The structure in Quantum ESPRESSO input format:
```
&SYSTEM
  ibrav = 0, nat = 14, ntyp = 3
/
ATOMIC_SPECIES
Pr 140.91 Pr.upf
Se 78.96 Se.upf
O 16.00 O.upf
CELL_PARAMETERS angstrom
4.723 0.000 0.000
0.000 7.476 0.000
0.000 0.000 7.476
ATOMIC_POSITIONS angstrom
Pr 1.230 3.738 0.000
Pr 3.493 0.000 3.738
Se 2.362 0.000 0.000
Se 2.362 3.738 3.738
O 1.392 1.354 0.000
O 1.392 3.738 2.384
O 1.120 0.000 3.738
O 3.604 3.738 0.000
O 1.392 3.738 5.093
O 1.392 6.122 0.000
O 3.332 5.093 3.738
O 3.332 0.000 6.122
O 3.332 0.000 1.354
O 3.332 2.384 3.738
```